Entry 1:
ReTeCl2: relaxed, GGA-PBE.

VASP energy	-3.932	eV/atom
formation energy from raw total energies	0.889	eV/atom
space group	No. 47
DOS(E_F)	2.5	states/eV per cell
ΔE to the lowest computed polymorph	967	meV per atom

a = 3.106 Å, b = 4.729 Å, c = 5.400 Å
α = 90.00°, β = 90.00°, γ = 90.00°
Sites, in units of the cell vectors:
Re: 0.000 0.000 0.000
Te: 0.500 0.000 0.500
Cl: 0.000 0.500 0.500
Cl: 0.500 0.500 0.000

---

Entry 2:
Ti5ZnIr4: relaxed, GGA-PBE.

ΔE_f	-0.690	eV per atom
VASP energy	-8.309	eV/atom
space group	No. 123
DOS(E_F)	8.7	states/eV per cell

a = 3.199 Å, b = 3.199 Å, c = 14.892 Å
α = 90.00°, β = 90.00°, γ = 90.00°
Sites, in units of the cell vectors:
Ti: 0.000 0.000 0.000
Ti: 0.000 0.000 0.199
Ti: 0.000 0.000 0.397
Ti: 0.000 0.000 0.603
Ti: 0.000 0.000 0.801
Zn: 0.500 0.500 0.500
Ir: 0.500 0.500 0.099
Ir: 0.500 0.500 0.298
Ir: 0.500 0.500 0.702
Ir: 0.500 0.500 0.901

---

Entry 3:
Rb2Ni2Se: relaxed, GGA-PBE.

VASP energy	-2.753	eV/atom
formation energy from raw total energies	0.643	eV/atom
space group	No. 127
DOS(E_F)	19.2	states/eV per cell
ΔE to the lowest computed polymorph	500	meV per atom

a = 9.932 Å, b = 9.932 Å, c = 2.991 Å
α = 90.00°, β = 90.00°, γ = 90.00°
Sites, in units of the cell vectors:
Rb: 0.204 0.296 0.000
Rb: 0.296 0.796 0.000
Rb: 0.704 0.204 0.000
Rb: 0.796 0.704 0.000
Ni: 0.077 0.577 0.500
Ni: 0.423 0.077 0.500
Ni: 0.577 0.923 0.500
Ni: 0.923 0.423 0.500
Se: 0.000 0.000 0.000
Se: 0.500 0.500 0.000

---

Entry 4:
Th2Ni2Bi: relaxed, GGA-PBE.

ΔE_f	-0.540	eV per atom
VASP energy	-6.597	eV/atom
space group	No. 127
DOS(E_F)	6.8	states/eV per cell

a = 7.582 Å, b = 7.582 Å, c = 3.919 Å
α = 90.00°, β = 90.00°, γ = 90.00°
Sites, in units of the cell vectors:
Th: 0.172 0.328 0.000
Th: 0.328 0.828 0.000
Th: 0.672 0.172 0.000
Th: 0.828 0.672 0.000
Ni: 0.120 0.620 0.500
Ni: 0.380 0.120 0.500
Ni: 0.620 0.880 0.500
Ni: 0.880 0.380 0.500
Bi: 0.000 0.000 0.500
Bi: 0.500 0.500 0.500

---

Entry 5:
DyPuZn: relaxed, GGA-PBE.

ΔE_f	-0.058	eV per atom
VASP energy	-6.794	eV/atom
space group	No. 107
DOS(E_F)	14.7	states/eV per cell
ΔE to the lowest computed polymorph	48	meV per atom

a = 3.491 Å, b = 3.491 Å, c = 12.347 Å
α = 90.00°, β = 90.00°, γ = 90.00°
Sites, in units of the cell vectors:
Dy: 0.000 0.000 0.000
Dy: 0.500 0.500 0.500
Pu: 0.000 0.000 0.704
Pu: 0.500 0.500 0.204
Zn: 0.000 0.000 0.355
Zn: 0.500 0.500 0.855

---

Entry 6:
Pm3Nd5Tm2: relaxed, GGA-PBE.

ΔE_f	0.359	eV per atom
VASP energy	-4.344	eV/atom
space group	No. 72
DOS(E_F)	30.1	states/eV per cell
ΔE to the lowest computed polymorph	187	meV per atom

a = 10.044 Å, b = 10.044 Å, c = 10.044 Å
α = 123.43°, β = 93.63°, γ = 112.69°
Sites, in units of the cell vectors:
Pm: 0.127 0.749 0.876
Pm: 0.250 0.250 0.000
Pm: 0.373 0.249 0.622
Pm: 0.627 0.751 0.378
Pm: 0.750 0.750 0.000
Pm: 0.873 0.251 0.124
Nd: 0.001 0.250 0.751
Nd: 0.120 0.396 0.516
Nd: 0.250 0.750 0.500
Nd: 0.380 0.896 0.276
Nd: 0.499 0.250 0.249
Nd: 0.501 0.750 0.751
Nd: 0.620 0.104 0.724
Nd: 0.750 0.250 0.500
Nd: 0.880 0.604 0.484
Nd: 0.999 0.750 0.249
Tm: 0.124 0.082 0.206
Tm: 0.376 0.582 0.958
Tm: 0.624 0.418 0.042
Tm: 0.876 0.918 0.794